Here is a relaxed NaCd2Ru crystal from the Alexandria database. Energies are from PBE-GGA.

**Mass density**: 6.5 g cm⁻³
**E_tot**: -2.428 eV/atom
**Calculated formation energy**: 679 meV per atom

Cell and atoms, written as extended XYZ:
```
8
Lattice="-2.148 2.148 9.590 2.148 -2.148 9.590 2.148 2.148 -9.590" Properties=species:S:1:pos:R:3 pbc="T T T"
Na 0.000 0.000 0.000
Na 0.000 2.148 4.795
Cd 1.074 -0.962 7.193
Cd 1.187 1.074 2.398
Cd 1.074 3.110 -2.398
Cd 0.962 1.074 11.988
Ru 2.148 0.000 4.795
Ru 0.000 0.000 9.590
```